An optimized crystal structure of Cs2ZnF, computed with GGA-PBE.

Properties
**ΔE_f (raw)**: -3.40 eV per formula unit
**Raw total energy**: -8.25 eV for the cell shown
**Calculated volume**: 37.73 Å³/atom
**Space-group type**: Fm-3m (225)

```
Cs2ZnF
1.0
-5.047 0.133 3.198
-3.765 4.608 -0.549
-5.274 -0.756 -2.707
Cs Zn F
2 1 1
Cartesian
-3.521 0.996 -0.015 Cs
-10.564 2.989 -0.044 Cs
-7.043 1.992 -0.029 Zn
0.000 0.000 0.000 F
```

An optimized crystal structure of Cs3ZnF4, computed with GGA-PBE.

Properties
**ΔE_f (raw)**: -18.07 eV per formula unit
**Raw total energy**: -58.77 eV for the cell shown
**Calculated volume**: 25.70 Å³/atom
**Space-group type**: Pmn2_1 (31)

```
Cs3ZnF4
1.0
-4.186 -4.038 1.847
-1.505 -1.099 -5.813
7.559 -8.036 -0.438
Cs Zn F
6 2 8
Cartesian
-3.468 -3.072 -3.486 Cs
0.612 -2.978 -4.332 Cs
-0.759 -4.475 -0.631 Cs
3.231 -4.467 -1.438 Cs
3.018 -8.490 -0.850 Cs
4.394 -6.999 -4.552 Cs
-0.525 -0.421 -1.338 Zn
0.386 -7.024 -3.628 Zn
-1.603 -1.224 -5.210 F
-3.435 -3.209 -0.406 F
1.181 -2.247 -1.427 F
-1.336 -5.213 -3.533 F
1.826 -5.654 -3.912 F
1.329 -6.352 0.303 F
2.088 -8.853 -3.731 F
5.316 -6.643 -1.667 F
```